Crystalline Tl5TeS4 at its relaxed geometry, computed with PBE-GGA.

The space group is C2/m (No. 12) and the conventional cell measures 18.0034, 4.3647 and 7.8596 Å, with angles of 90.00, 106.49 and 90.00 degrees. The inequivalent atoms are Tl at (0.0000, 0.0000, 0.0000), Tl at (0.1557, 0.5000, 0.2817), Tl at (0.1853, 0.5000, 0.8105), Te at (0.0000, 0.0000, 0.5000), S at (0.0180, 0.5000, 0.7309) and S at (0.1544, 0.0000, 0.5375).

For the uncorrected energy, the calculation gives -33.44 eV/f.u. Its energy relative to the elements, uncorrected is -0.195 eV/atom. The calculation puts the calculated density at 7.17 Mg/m³.

---

Crystalline Ba2MgAl12Ni3 at its relaxed geometry, computed with PBE-GGA.

The space group is R-3m (No. 166, hexagonal axes) and the conventional cell measures 8.8985, 8.8985 and 18.8077 Å, with angles of 90.00, 90.00 and 120.00 degrees. The inequivalent atoms are Ba at (0.0000, 0.0000, 0.0961), Mg at (0.0000, 0.0000, 0.5000), Al at (0.9995, 0.4998, 0.1230), Al at (0.1075, 0.5537, 0.3222) and Ni at (0.0000, 0.5000, 0.0000).

For the uncorrected energy, the calculation gives -66.77 eV/f.u. As for the formation energy: 0.051 eV per atom. The calculation puts the calculated density at 3.09 Mg/m³.

---

Crystalline Cs2KH6Pt at its relaxed geometry, computed with PBE-GGA.

The space group is P-3m1 (No. 164) and the conventional cell measures 6.4295, 6.4295 and 6.8857 Å, with angles of 90.00, 90.00 and 120.00 degrees. The inequivalent atoms are Cs at (0.3333, 0.6667, 0.1543), K at (0.0000, 0.0000, 0.5000), H at (0.1217, 0.2435, 0.8595) and Pt at (0.0000, 0.0000, 0.0000).

For the uncorrected energy, the calculation gives -32.22 eV/f.u. The calculation puts the calculated density at 3.41 Mg/m³.

---

Crystalline Tb3Tm6Sc at its relaxed geometry, computed with PBE-GGA.

The space group is Cmc2_1 (No. 36) and the conventional cell measures 10.7998, 18.6529 and 6.0898 Å, with angles of 90.00, 90.00 and 90.00 degrees. The inequivalent atoms are Tb at (0.0000, 0.1103, 0.0000), Tb at (0.1672, 0.3893, 0.3889), Tm at (0.0000, 0.2185, 0.5687), Tm at (0.0000, 0.4501, 0.8605), Tm at (0.1642, 0.0470, 0.4697), Tm at (0.2488, 0.2896, 0.7986) and Sc at (0.0000, 0.2912, 0.0753).

The value obtained for the energy above the lowest structure with this stoichiometry is 112.2 meV per atom. For the uncorrected energy, the calculation gives -45.59 eV/f.u. As for the formation energy: 0.146 eV per atom. The calculation puts the calculated density at 8.31 Mg/m³.

---

Crystalline Tl2SnHgPb2 at its relaxed geometry, computed with PBE-GGA.

The space group is Pmc2_1 (No. 26) and the conventional cell measures 5.1332, 10.0012 and 6.9250 Å, with angles of 90.00, 90.00 and 90.00 degrees. The inequivalent atoms are Tl at (0.0000, 0.0027, 0.0000), Tl at (0.5000, 0.1497, 0.7494), Sn at (0.5000, 0.4754, 0.8188), Hg at (0.0000, 0.3300, 0.0147), Pb at (0.0000, 0.3445, 0.5262) and Pb at (0.5000, 0.2039, 0.2451).

For the uncorrected energy, the calculation gives -16.31 eV/f.u. As for the formation energy: 0.025 eV per atom. The calculation puts the calculated density at 10.67 Mg/m³.

---

Crystalline Er2CdH2 at its relaxed geometry, computed with PBE-GGA.

The space group is I4/mmm (No. 139) and the conventional cell measures 3.7303, 3.7303 and 12.0077 Å, with angles of 90.00, 90.00 and 90.00 degrees. The inequivalent atoms are Er at (0.0000, 0.0000, 0.1527), Cd at (0.0000, 0.0000, 0.5000) and H at (0.0000, 0.5000, 0.2500).

For the uncorrected energy, the calculation gives -19.60 eV/f.u. The calculation puts the calculated density at 8.92 Mg/m³.

---

Crystalline Pm2HoScTe4 at its relaxed geometry, computed with PBE-GGA.

The space group is P2/m (No. 10) and the conventional cell measures 7.4997, 4.3049 and 7.6837 Å, with angles of 90.00, 108.79 and 90.00 degrees. The inequivalent atoms are Pm at (0.0000, 0.0000, 0.0000), Pm at (0.5000, 0.5000, 0.0000), Ho at (0.0000, 0.5000, 0.5000), Sc at (0.5000, 0.0000, 0.5000), Te at (0.2508, 0.0000, 0.7346) and Te at (0.2626, 0.5000, 0.2697).

For the uncorrected energy, the calculation gives -43.26 eV/f.u. Its energy relative to the elements, uncorrected is -1.286 eV/atom. The calculation puts the calculated density at 7.14 Mg/m³.

---

Crystalline Be2Te at its relaxed geometry, computed with PBE-GGA.

The space group is P-31m (No. 162) and the conventional cell measures 6.2810, 6.2810 and 5.6382 Å, with angles of 90.00, 90.00 and 120.00 degrees. The inequivalent atoms are Be at (0.0000, 0.2252, 0.3638), Te at (0.0000, 0.0000, 0.0000) and Te at (0.3333, 0.6667, 0.5000).

The value obtained for the energy above the lowest structure with this stoichiometry is 436.0 meV per atom. For the uncorrected energy, the calculation gives -9.22 eV/f.u. Its energy relative to the elements, uncorrected is 0.457 eV/atom. The calculation puts the calculated density at 3.77 Mg/m³.

---

Crystalline AcHoCd2Au4 at its relaxed geometry, computed with PBE-GGA.

The space group is R-3m (No. 166, hexagonal axes) and the conventional cell measures 4.9380, 4.9380 and 26.5527 Å, with angles of 90.00, 90.00 and 120.00 degrees. The inequivalent atoms are Ac at (0.0000, 0.0000, 0.0000), Ho at (0.0000, 0.0000, 0.5000), Cd at (0.0000, 0.0000, 0.2434), Au at (0.0000, 0.0000, 0.1274) and Au at (0.0000, 0.0000, 0.3901).

For the uncorrected energy, the calculation gives -28.78 eV/f.u. As for the formation energy: -0.644 eV per atom. The calculation puts the calculated density at 12.48 Mg/m³.

---

Crystalline K2Sr at its relaxed geometry, computed with PBE-GGA.

The space group is Fm-3m (No. 225) and the conventional cell measures 10.0884, 10.0884 and 10.0884 Å, with angles of 90.00, 90.00 and 90.00 degrees. The inequivalent atoms are K at (0.2500, 0.2500, 0.2500) and Sr at (0.0000, 0.0000, 0.0000).

For the uncorrected energy, the calculation gives -2.83 eV/f.u. As for the formation energy: 0.347 eV per atom. The calculation puts the calculated density at 1.07 Mg/m³.

---

Crystalline RbCr2Au at its relaxed geometry, computed with PBE-GGA.

The space group is Fm-3m (No. 225) and the conventional cell measures 7.2202, 7.2202 and 7.2202 Å, with angles of 90.00, 90.00 and 90.00 degrees. The inequivalent atoms are Rb at (0.0000, 0.0000, 0.0000), Cr at (0.2500, 0.2500, 0.2500) and Au at (0.0000, 0.0000, 0.5000).

The value obtained for the energy above the lowest structure with this stoichiometry is 147.2 meV per atom. For the uncorrected energy, the calculation gives -19.25 eV/f.u. As for the formation energy: 1.061 eV per atom. The calculation puts the calculated density at 6.82 Mg/m³.

---

Crystalline Pm2Nd2Er at its relaxed geometry, computed with PBE-GGA.

The space group is Imma (No. 74) and the conventional cell measures 3.6588, 5.8231 and 32.2956 Å, with angles of 90.00, 90.00 and 90.00 degrees. The inequivalent atoms are Pm at (0.0000, 0.2500, 0.1926), Pm at (0.0000, 0.2500, 0.7072), Nd at (0.0000, 0.2500, 0.8811), Nd at (0.0000, 0.2500, 0.9792) and Er at (0.0000, 0.2500, 0.4212).

The value obtained for the energy above the lowest structure with this stoichiometry is 20.3 meV per atom. For the uncorrected energy, the calculation gives -22.92 eV/f.u. As for the formation energy: 0.136 eV per atom. The calculation puts the calculated density at 7.20 Mg/m³.

---

Crystalline Na4B7C at its relaxed geometry, computed with PBE-GGA.

The space group is P2_1/m (No. 11) and the conventional cell measures 10.3101, 2.7607 and 10.3103 Å, with angles of 90.00, 116.04 and 90.00 degrees. The inequivalent atoms are Na at (0.1236, 0.2500, 0.1223), Na at (0.1253, 0.7500, 0.6256), Na at (0.3742, 0.2500, 0.8752), Na at (0.3738, 0.7500, 0.3737), B at (0.0632, 0.7500, 0.3122), B at (0.1546, 0.7500, 0.9060), B at (0.1652, 0.2500, 0.4152), B at (0.3144, 0.7500, 0.0649), B at (0.3210, 0.2500, 0.5719), B at (0.4182, 0.2500, 0.1679), B at (0.4238, 0.7500, 0.6751) and C at (0.0787, 0.2500, 0.8308).

The value obtained for the energy above the lowest structure with this stoichiometry is 1.2 meV per atom. For the uncorrected energy, the calculation gives -58.56 eV/f.u. As for the formation energy: 0.223 eV per atom. The calculation puts the calculated density at 2.26 Mg/m³.

---

Crystalline TaPSCl2 at its relaxed geometry, computed with PBE-GGA.

The space group is P4/mmm (No. 123) and the conventional cell measures 4.5942, 4.5942 and 4.8813 Å, with angles of 90.00, 90.00 and 90.00 degrees. The inequivalent atoms are Ta at (0.0000, 0.0000, 0.0000), P at (0.5000, 0.5000, 0.5000), S at (0.5000, 0.5000, 0.0000) and Cl at (0.0000, 0.5000, 0.5000).

The value obtained for the energy above the lowest structure with this stoichiometry is 831.8 meV per atom. For the uncorrected energy, the calculation gives -20.56 eV/f.u. Its energy relative to the elements, uncorrected is 0.905 eV/atom. The calculation puts the calculated density at 5.08 Mg/m³.

---

Crystalline Sm12FeSb6 at its relaxed geometry, computed with PBE-GGA.

The space group is R-3 (No. 148, hexagonal axes) and the conventional cell measures 13.2179, 13.2179 and 12.3754 Å, with angles of 90.00, 90.00 and 120.00 degrees. The inequivalent atoms are Sm at (0.0305, 0.1948, 0.3896), Sm at (0.0643, 0.1907, 0.8821), Fe at (0.0000, 0.0000, 0.0000) and Sb at (0.0467, 0.2849, 0.6406).

For the uncorrected energy, the calculation gives -101.53 eV/f.u. Its energy relative to the elements, uncorrected is -0.616 eV/atom. The calculation puts the calculated density at 6.89 Mg/m³.

---

Crystalline Sr7Cd2Au2 at its relaxed geometry, computed with PBE-GGA.

The space group is Cmmm (No. 65) and the conventional cell measures 9.0418, 12.3274 and 7.9137 Å, with angles of 90.00, 90.00 and 90.00 degrees. The inequivalent atoms are Sr at (0.0000, 0.0000, 0.0000), Sr at (0.0000, 0.5000, 0.2485), Sr at (0.2500, 0.2500, 0.2615), Cd at (0.1661, 0.0000, 0.5000) and Au at (0.0000, 0.2896, 0.0000).

For the uncorrected energy, the calculation gives -23.94 eV/f.u. As for the formation energy: -0.344 eV per atom. The calculation puts the calculated density at 4.64 Mg/m³.

---

Crystalline PmSmInSn at its relaxed geometry, computed with PBE-GGA.

The space group is F-43m (No. 216) and the conventional cell measures 7.6969, 7.6969 and 7.6969 Å, with angles of 90.00, 90.00 and 90.00 degrees. The inequivalent atoms are Pm at (0.0000, 0.0000, 0.0000), Sm at (0.0000, 0.0000, 0.5000), In at (0.2500, 0.2500, 0.2500) and Sn at (0.2500, 0.2500, 0.7500).

The value obtained for the energy above the lowest structure with this stoichiometry is 102.6 meV per atom. For the uncorrected energy, the calculation gives -18.36 eV/f.u. As for the formation energy: -0.537 eV per atom. The calculation puts the calculated density at 7.70 Mg/m³.

---

Crystalline YIn2Pt at its relaxed geometry, computed with PBE-GGA.

The space group is I-42d (No. 122) and the conventional cell measures 8.2540, 8.2540 and 5.7977 Å, with angles of 90.00, 90.00 and 90.00 degrees. The inequivalent atoms are Y at (0.0000, 0.0000, 0.0000), In at (0.1971, 0.2500, 0.6250) and Pt at (0.0000, 0.0000, 0.5000).

For the uncorrected energy, the calculation gives -19.92 eV/f.u. As for the formation energy: -0.484 eV per atom. The calculation puts the calculated density at 8.64 Mg/m³.

---

Crystalline Y11Tl9Ni4 at its relaxed geometry, computed with PBE-GGA.

The space group is Cmmm (No. 65) and the conventional cell measures 14.5806, 21.8748 and 3.7042 Å, with angles of 90.00, 90.00 and 90.00 degrees. The inequivalent atoms are Y at (0.0000, 0.0000, 0.0000), Y at (0.0000, 0.1622, 0.0000), Y at (0.0000, 0.3747, 0.0000), Y at (0.1880, 0.5000, 0.0000), Y at (0.2492, 0.3332, 0.0000), Tl at (0.0000, 0.5000, 0.5000), Tl at (0.1085, 0.2619, 0.5000), Tl at (0.1455, 0.0730, 0.5000) and Ni at (0.1502, 0.3999, 0.5000).

For the uncorrected energy, the calculation gives -125.57 eV/f.u. As for the formation energy: -0.419 eV per atom. The calculation puts the calculated density at 8.58 Mg/m³.

---

Crystalline DyPbI5 at its relaxed geometry, computed with PBE-GGA.

The space group is P2_1/m (No. 11) and the conventional cell measures 9.2927, 4.4933 and 14.9933 Å, with angles of 90.00, 94.23 and 90.00 degrees. The inequivalent atoms are Dy at (0.0892, 0.2500, 0.1497), Pb at (0.4044, 0.7500, 0.3628), I at (0.1132, 0.2500, 0.7978), I at (0.1404, 0.2500, 0.3604), I at (0.1750, 0.7500, 0.0149), I at (0.3518, 0.7500, 0.5732) and I at (0.4161, 0.2500, 0.1805).

For the uncorrected energy, the calculation gives -23.24 eV/f.u. Its energy relative to the elements, uncorrected is -1.025 eV/atom. The calculation puts the calculated density at 5.34 Mg/m³.